Entry 1:
Here is an optimized crystal structure of RbCa2InRh from the Alexandria database. Energies are from PBE.

Calculated values
As for the density: 3.78 Mg/m³. As for the formation energy: -0.23 eV/atom. As for the space group: P4/mmm, No. 123. As for the total energy: -3.24 eV/atom.

abc: 5.589 5.589 5.396
angles: 90.00 90.00 90.00
Fractional coordinates of all 5 atoms:
Ca1 0.000 0.500 0.000
Ca2 0.500 0.000 0.000
Rh1 0.000 0.000 0.000
Rb1 0.500 0.500 0.500
In1 0.000 0.000 0.500

Entry 2:
Here is an optimized crystal structure of NaLiS2N from the Alexandria database. Energies are from PBE.

Calculated values
As for the density: 1.52 Mg/m³. Its raw formation energy is 1.00 eV per atom. As for the space group: P4/mmm, No. 123. The value obtained for the energy above the most stable polymorph in this dataset is 390 meV/atom. As for the total energy: -2.96 eV/atom.

abc: 5.048 5.048 4.619
angles: 90.00 90.00 90.00
Fractional coordinates of all 5 atoms:
Na1 0.000 0.000 0.000
S1 0.000 0.500 0.000
S2 0.500 0.000 0.000
Li1 0.500 0.500 0.500
N1 0.000 0.000 0.500

Entry 3:
Here is an optimized crystal structure of RbSmBeO3 from the Alexandria database. Energies are from PBE.

Calculated values
As for the density: 4.73 Mg/m³. Its raw formation energy is -2.57 eV per atom. As for the space group: P2_1/m, No. 11. As for the total energy: -6.62 eV/atom.

abc: 3.498 8.014 7.705
angles: 107.81 90.00 90.00
Fractional coordinates of all 12 atoms:
Rb1 0.250 0.191 0.222
Rb2 0.750 0.809 0.778
Sm1 0.250 0.659 0.170
Sm2 0.750 0.341 0.830
Be1 0.250 0.060 0.605
Be2 0.750 0.940 0.395
O1 0.750 0.863 0.185
O2 0.250 0.137 0.815
O3 0.250 0.870 0.470
O4 0.750 0.130 0.530
O5 0.750 0.460 0.145
O6 0.250 0.540 0.855

Entry 4:
Here is an optimized crystal structure of Ho3CoNi from the Alexandria database. Energies are from PBE.

Calculated values
As for the density: 9.13 Mg/m³. As for the formation energy: -0.25 eV/atom. As for the space group: C2/m, No. 12. The value obtained for the energy above the most stable polymorph in this dataset is 3 meV/atom. As for the total energy: -5.57 eV/atom.

abc: 3.689 7.951 7.836
angles: 85.23 90.00 103.40
Fractional coordinates of all 10 atoms:
Ho1 0.084 0.202 0.382
Ho2 0.421 0.875 0.657
Ho3 0.623 0.279 0.764
Ho4 0.960 0.952 0.040
Ho5 0.249 0.532 0.022
Ho6 0.795 0.622 0.400
Co1 0.238 0.510 0.647
Co2 0.806 0.644 0.775
Ni1 0.443 0.919 0.299
Ni2 0.601 0.235 0.122

Entry 5:
Here is an optimized crystal structure of AlSe3 from the Alexandria database. Energies are from PBE.

Calculated values
As for the density: 5.43 Mg/m³. Its raw formation energy is 0.44 eV per atom. As for the space group: Pm-3m, No. 221. The value obtained for the energy above the most stable polymorph in this dataset is 728 meV/atom. As for the total energy: -3.10 eV/atom.

abc: 4.321 4.321 4.321
angles: 90.00 90.00 90.00
Fractional coordinates of all 4 atoms:
Al1 0.000 0.000 0.000
Se1 0.000 0.500 0.500
Se2 0.500 0.000 0.500
Se3 0.500 0.500 0.000

Entry 6:
Here is an optimized crystal structure of HoScIr from the Alexandria database. Energies are from PBE.

Calculated values
As for the density: 9.38 Mg/m³. As for the formation energy: -0.70 eV/atom. As for the space group: P-1, No. 2. The value obtained for the energy above the most stable polymorph in this dataset is 85 meV/atom. As for the total energy: -7.29 eV/atom.

abc: 4.652 4.652 6.575
angles: 90.40 90.29 90.00
Fractional coordinates of all 6 atoms:
Sc1 0.498 0.002 0.250
Sc2 0.502 0.998 0.750
Ir1 0.000 0.000 0.000
Ir2 0.500 0.500 0.500
Ho1 0.998 0.503 0.250
Ho2 0.002 0.497 0.750

Entry 7:
Here is an optimized crystal structure of Ho2CuPt9 from the Alexandria database. Energies are from PBE.

Calculated values
As for the density: 17.92 Mg/m³. As for the formation energy: -0.71 eV/atom. As for the space group: P4/mmm, No. 123. As for the total energy: -6.35 eV/atom.

abc: 4.074 4.074 12.002
angles: 90.00 90.00 90.00
Fractional coordinates of all 12 atoms:
Ho1 0.000 0.000 0.326
Ho2 0.000 0.000 0.674
Cu1 0.000 0.000 0.000
Pt1 0.500 0.500 0.000
Pt2 0.500 0.500 0.327
Pt3 0.500 0.500 0.673
Pt4 0.500 0.000 0.153
Pt5 0.500 0.000 0.500
Pt6 0.500 0.000 0.847
Pt7 0.000 0.500 0.153
Pt8 0.000 0.500 0.500
Pt9 0.000 0.500 0.847

Entry 8:
Here is an optimized crystal structure of Nd2Ga2Cl from the Alexandria database. Energies are from PBE.

Calculated values
As for the density: 6.42 Mg/m³. Its raw formation energy is -1.04 eV per atom. As for the space group: C2/m, No. 12. As for the total energy: -4.53 eV/atom.

abc: 4.216 4.216 8.150
angles: 90.10 104.93 119.92
Fractional coordinates of all 5 atoms:
Nd1 0.825 0.411 0.236
Nd2 0.175 0.589 0.764
Ga1 0.352 0.176 0.529
Ga2 0.648 0.824 0.471
Cl1 0.000 0.000 0.000

Entry 9:
Here is an optimized crystal structure of LaVCd from the Alexandria database. Energies are from PBE.

Calculated values
As for the density: 6.86 Mg/m³. As for the formation energy: 0.16 eV/atom. As for the space group: Imm2, No. 44. The value obtained for the energy above the most stable polymorph in this dataset is 10 meV/atom. As for the total energy: -4.82 eV/atom.

abc: 5.709 6.184 8.288
angles: 90.00 90.00 90.00
Fractional coordinates of all 12 atoms:
V1 0.330 0.000 0.272
V2 0.670 0.000 0.272
V3 0.830 0.500 0.772
V4 0.170 0.500 0.772
Cd1 0.000 0.238 0.039
Cd2 0.000 0.762 0.039
Cd3 0.500 0.738 0.539
Cd4 0.500 0.262 0.539
La1 0.000 0.000 0.640
La2 0.500 0.500 0.140
La3 0.000 0.500 0.398
La4 0.500 0.000 0.898

Entry 10:
Here is an optimized crystal structure of K3ScI6 from the Alexandria database. Energies are from PBE.

Calculated values
As for the density: 3.46 Mg/m³. Its raw formation energy is -1.38 eV per atom. As for the space group: P2_1/c, No. 14. The value obtained for the energy above the most stable polymorph in this dataset is 0 meV/atom. As for the total energy: -3.27 eV/atom.

abc: 8.307 8.885 12.011
angles: 90.00 89.70 90.00
Fractional coordinates of all 20 atoms:
K1 0.536 0.911 0.751
K2 0.500 0.500 0.000
K3 0.464 0.089 0.249
K4 0.036 0.589 0.251
K5 0.000 0.000 0.500
K6 0.964 0.411 0.749
Sc1 0.500 0.500 0.500
Sc2 0.000 0.000 0.000
I1 0.715 0.171 0.940
I2 0.659 0.221 0.570
I3 0.630 0.458 0.276
I4 0.370 0.542 0.724
I5 0.341 0.779 0.430
I6 0.285 0.829 0.060
I7 0.215 0.329 0.440
I8 0.159 0.279 0.070
I9 0.130 0.042 0.776
I10 0.870 0.958 0.224
I11 0.841 0.721 0.930
I12 0.785 0.671 0.560

Entry 11:
Here is an optimized crystal structure of YH2Rh from the Alexandria database. Energies are from PBE.

Calculated values
As for the density: 6.87 Mg/m³. As for the space group: Fm-3m, No. 225. The value obtained for the energy above the most stable polymorph in this dataset is 412 meV/atom. As for the total energy: -5.28 eV/atom.

abc: 4.046 4.046 4.046
angles: 60.00 60.00 60.00
Fractional coordinates of all 4 atoms:
Y1 0.000 0.000 0.000
H1 0.250 0.250 0.250
H2 0.750 0.750 0.750
Rh1 0.500 0.500 0.500

Entry 12:
Here is an optimized crystal structure of Sr3Tl5Br12 from the Alexandria database. Energies are from PBE.

Calculated values
As for the density: 5.06 Mg/m³. Its raw formation energy is -1.36 eV per atom. As for the space group: P-62m, No. 189. The value obtained for the energy above the most stable polymorph in this dataset is 0 meV/atom. As for the total energy: -3.21 eV/atom.

abc: 4.641 13.540 13.540
angles: 120.00 90.00 90.00
Fractional coordinates of all 20 atoms:
Sr1 0.500 0.676 0.000
Sr2 0.500 0.324 0.324
Sr3 0.500 0.000 0.676
Tl1 0.000 0.333 0.667
Tl2 0.000 0.667 0.333
Tl3 0.000 0.293 0.000
Tl4 0.000 0.707 0.707
Tl5 0.000 0.000 0.293
Br1 0.000 0.826 0.000
Br2 0.000 0.174 0.174
Br3 0.000 0.000 0.826
Br4 0.000 0.531 0.000
Br5 0.000 0.469 0.469
Br6 0.000 0.000 0.531
Br7 0.500 0.191 0.451
Br8 0.500 0.261 0.809
Br9 0.500 0.809 0.261
Br10 0.500 0.549 0.739
Br11 0.500 0.739 0.549
Br12 0.500 0.451 0.191

Entry 13:
Here is an optimized crystal structure of BC2 from the Alexandria database. Energies are from PBE.

Calculated values
As for the density: 3.02 Mg/m³. As for the formation energy: 0.32 eV/atom. As for the space group: Pmm2, No. 25. The value obtained for the energy above the most stable polymorph in this dataset is 76 meV/atom. As for the total energy: -8.06 eV/atom.

abc: 2.480 2.568 12.027
angles: 90.00 90.00 90.00
Fractional coordinates of all 12 atoms:
B1 0.500 0.500 0.854
B2 0.500 0.000 0.568
B3 0.000 0.500 0.736
B4 0.500 0.500 0.175
C1 0.500 0.000 0.935
C2 0.500 0.500 0.481
C3 0.000 0.000 0.659
C4 0.500 0.000 0.259
C5 0.000 0.000 0.331
C6 0.000 0.500 0.410
C7 0.000 0.000 0.011
C8 0.000 0.500 0.083

Entry 14:
Here is an optimized crystal structure of Mn2Ag2Cl7 from the Alexandria database. Energies are from PBE.

Calculated values
As for the density: 2.95 Mg/m³. Its raw formation energy is -0.76 eV per atom. As for the space group: C2/c, No. 15. The value obtained for the energy above the most stable polymorph in this dataset is 32 meV/atom. As for the total energy: -4.12 eV/atom.

abc: 7.264 7.264 13.230
angles: 103.28 103.28 98.49
Fractional coordinates of all 22 atoms:
Mn1 0.200 0.186 0.202
Mn2 0.186 0.200 0.702
Mn3 0.814 0.800 0.298
Mn4 0.800 0.814 0.798
Ag1 0.366 0.717 0.468
Ag2 0.283 0.634 0.032
Ag3 0.717 0.366 0.968
Ag4 0.634 0.283 0.532
Cl1 0.999 0.622 0.378
Cl2 0.072 0.341 0.076
Cl3 0.416 0.377 0.361
Cl4 0.920 0.080 0.250
Cl5 0.622 0.999 0.878
Cl6 0.341 0.072 0.576
Cl7 0.377 0.416 0.861
Cl8 0.623 0.584 0.139
Cl9 0.659 0.928 0.424
Cl10 0.378 0.001 0.122
Cl11 0.080 0.920 0.750
Cl12 0.584 0.623 0.639
Cl13 0.928 0.659 0.924
Cl14 0.001 0.378 0.622

Entry 15:
Here is an optimized crystal structure of RbBiIr from the Alexandria database. Energies are from PBE.

Calculated values
As for the density: 7.51 Mg/m³. As for the formation energy: 0.00 eV/atom. As for the space group: P4/nmm, No. 129. The value obtained for the energy above the most stable polymorph in this dataset is 0 meV/atom. As for the total energy: -4.57 eV/atom.

abc: 4.314 4.314 11.566
angles: 90.00 90.00 90.00
Fractional coordinates of all 6 atoms:
Rb1 0.000 0.500 0.321
Rb2 0.500 0.000 0.679
Bi1 0.000 0.500 0.858
Bi2 0.500 0.000 0.142
Ir1 0.000 0.000 0.000
Ir2 0.500 0.500 0.000

Entry 16:
Here is an optimized crystal structure of CdTe2Rh from the Alexandria database. Energies are from PBE.

Calculated values
As for the density: 7.61 Mg/m³. Its raw formation energy is -0.09 eV per atom. As for the space group: R3m, No. 160. As for the total energy: -3.73 eV/atom.

abc: 9.728 9.728 9.728
angles: 20.90 20.90 20.90
Fractional coordinates of all 4 atoms:
Cd1 0.512 0.512 0.512
Te1 0.972 0.972 0.972
Te2 0.764 0.764 0.764
Rh1 0.251 0.251 0.251

Entry 17:
Here is an optimized crystal structure of Tb2Pr3Nd7 from the Alexandria database. Energies are from PBE.

Calculated values
As for the density: 6.86 Mg/m³. As for the formation energy: 0.08 eV/atom. As for the space group: P2/m, No. 10. The value obtained for the energy above the most stable polymorph in this dataset is 11 meV/atom. As for the total energy: -4.66 eV/atom.

abc: 3.650 6.002 19.367
angles: 93.11 90.00 90.00
Fractional coordinates of all 12 atoms:
Tb1 0.500 0.711 0.295
Tb2 0.500 0.289 0.705
Pr1 0.500 0.500 0.000
Pr2 0.000 0.219 0.366
Pr3 0.000 0.781 0.634
Nd1 0.500 0.743 0.464
Nd2 0.500 0.257 0.536
Nd3 0.000 0.685 0.146
Nd4 0.000 0.000 0.000
Nd5 0.000 0.315 0.854
Nd6 0.500 0.812 0.820
Nd7 0.500 0.188 0.180

Entry 18:
Here is an optimized crystal structure of Li2PuAlAu4 from the Alexandria database. Energies are from PBE.

Calculated values
As for the density: 11.94 Mg/m³. As for the formation energy: -0.47 eV/atom. As for the space group: R-3m, No. 166. As for the total energy: -4.85 eV/atom.

abc: 4.474 4.474 8.982
angles: 75.58 75.58 60.00
Fractional coordinates of all 8 atoms:
Li1 0.762 0.762 0.715
Li2 0.238 0.238 0.285
Pu1 0.000 0.000 0.000
Al1 0.500 0.500 0.500
Au1 0.398 0.398 0.805
Au2 0.869 0.869 0.393
Au3 0.131 0.131 0.607
Au4 0.602 0.602 0.195

Entry 19:
Here is an optimized crystal structure of SnTePd from the Alexandria database. Energies are from PBE.

Calculated values
As for the density: 7.51 Mg/m³. Its raw formation energy is -0.29 eV per atom. As for the space group: P1, No. 1. As for the total energy: -4.40 eV/atom.

abc: 4.839 6.970 4.880
angles: 89.22 86.46 71.70
Fractional coordinates of all 6 atoms:
Sn1 0.759 0.745 0.697
Sn2 0.897 0.091 0.114
Te1 0.457 0.641 0.213
Te2 0.304 0.257 0.770
Pd1 0.791 0.357 0.539
Pd2 0.166 0.935 0.592

Entry 20:
Here is an optimized crystal structure of KTl4HgAu2 from the Alexandria database. Energies are from PBE.

Calculated values
As for the density: 9.88 Mg/m³. As for the formation energy: -0.09 eV/atom. As for the space group: P4/mmm, No. 123. As for the total energy: -2.27 eV/atom.

abc: 4.966 4.966 9.888
angles: 90.00 90.00 90.00
Fractional coordinates of all 8 atoms:
K1 0.000 0.000 0.500
Tl1 0.000 0.500 0.194
Tl2 0.500 0.000 0.806
Tl3 0.500 0.000 0.194
Tl4 0.000 0.500 0.806
Hg1 0.000 0.000 0.000
Au1 0.500 0.500 0.361
Au2 0.500 0.500 0.639